The following is a PBE calculation of a geometry-optimized LiMn2In structure, from Alexandria via LeMat-Bulk.

abc: 5.448 9.273 2.871
angles: 90.00 113.39 90.00
Positions (direct):
1 Li 0.000 0.000 0.000
2 Li 0.500 0.500 0.000
3 Mn 0.250 0.250 0.500
4 Mn 0.250 0.750 0.500
5 Mn 0.750 0.250 0.500
6 Mn 0.750 0.750 0.500
7 In 0.000 0.500 0.000
8 In 0.500 0.000 0.000

Results
Uncorrected energy (eV per atom): -5.4410